An optimized crystal structure of La2CdSb, computed with GGA-PBE.

a b c (Å): 7.8473 7.8473 7.8473
angles (deg): 90.00 90.00 90.00
Space group Fm-3m (No. 225)
One atom of each set of equivalent atoms:
La: 0.2500 0.2500 0.2500 [8 per cell]
Cd: 0.0000 0.0000 0.0000 [4 per cell]
Sb: 0.0000 0.0000 0.5000 [4 per cell]

Summary:
theoretical density: 7.0 g/cm³
ΔE_f (raw): -0.6577 eV/atom
magnetic moment: 0.00 μB per formula unit
polymorph energy (0 for the lowest one): 0.071 eV per atom

An optimized crystal structure of LaCdSb, computed with GGA-PBE.

a b c (Å): 4.7790 4.7790 4.4910
angles (deg): 90.00 90.00 120.00
Space group P3m1 (No. 156)
One atom of each set of equivalent atoms:
La: 0.0000 0.0000 0.0000 [1 per cell]
Cd: 0.3333 0.6667 0.6430 [1 per cell]
Sb: 0.6667 0.3333 0.4301 [1 per cell]

Summary:
theoretical density: 7.0 g/cm³
ΔE_f (raw): -0.6635 eV/atom
magnetic moment: 0.00 μB per formula unit
polymorph energy (0 for the lowest one): 0.044 eV per atom

An optimized crystal structure of La6Cd5Sb, computed with GGA-PBE.

a b c (Å): 5.5487 16.7873 7.8441
angles (deg): 90.00 90.00 90.00
Space group Cmmm (No. 65)
One atom of each set of equivalent atoms:
La: 0.0000 0.0000 0.2408 [4 per cell]
La: 0.0000 0.3369 0.2511 [8 per cell]
Cd: 0.0000 0.1661 0.5000 [4 per cell]
Cd: 0.0000 0.1788 0.0000 [4 per cell]
Cd: 0.0000 0.5000 0.5000 [2 per cell]
Sb: 0.0000 0.5000 0.0000 [2 per cell]

Summary:
theoretical density: 6.9 g/cm³
ΔE_f (raw): -0.4652 eV/atom
magnetic moment: 0.00 μB per formula unit

An optimized crystal structure of La2CdSb, computed with GGA-PBE.

a b c (Å): 4.1133 4.1133 7.2084
angles (deg): 90.00 90.00 90.00
Space group P4/mmm (No. 123)
One atom of each set of equivalent atoms:
La: 0.0000 0.0000 0.2388 [2 per cell]
Cd: 0.5000 0.5000 0.5000 [1 per cell]
Sb: 0.5000 0.5000 0.0000 [1 per cell]

Summary:
theoretical density: 7.0 g/cm³
ΔE_f (raw): -0.7291 eV/atom
magnetic moment: 0.02 μB per formula unit
polymorph energy (0 for the lowest one): 0.000 eV per atom

An optimized crystal structure of LaCdSb, computed with GGA-PBE.

a b c (Å): 4.3155 4.3155 9.6431
angles (deg): 90.00 90.00 90.00
Space group I4mm (No. 107)
One atom of each set of equivalent atoms:
La: 0.0000 0.0000 0.0000 [2 per cell]
Cd: 0.0000 0.0000 0.6726 [2 per cell]
Sb: 0.0000 0.0000 0.3482 [2 per cell]

Summary:
theoretical density: 6.9 g/cm³
ΔE_f (raw): -0.5245 eV/atom
magnetic moment: 0.00 μB per formula unit
polymorph energy (0 for the lowest one): 0.183 eV per atom

An optimized crystal structure of LaCdSb, computed with GGA-PBE.

a b c (Å): 3.5030 3.5030 8.1912
angles (deg): 90.00 90.00 120.00
Space group P3m1 (No. 156)
One atom of each set of equivalent atoms:
La: 0.0000 0.0000 0.0000 [1 per cell]
Cd: 0.3333 0.6667 0.6551 [1 per cell]
Sb: 0.6667 0.3333 0.3377 [1 per cell]

Summary:
theoretical density: 7.1 g/cm³
ΔE_f (raw): -0.1974 eV/atom
magnetic moment: 0.00 μB per formula unit
polymorph energy (0 for the lowest one): 0.510 eV per atom